# 1
# PBE LaErPd, relaxed
# ΔH_f (0 K), kcal/mol of atoms: -10.0
# Volume, Å³ per atom: 29.15
data_LaErPd
_chemical_formula_sum 'La4 Er4 Pd4'
_symmetry_space_group_name_H-M 'F -4 3 m'
_symmetry_Int_Tables_number 216
_symmetry_space_group_name_Hall 'F -4 2 3'
_cell_length_a 7.046
_cell_length_b 7.046
_cell_length_c 7.046
_cell_angle_alpha 90.00
_cell_angle_beta 90.00
_cell_angle_gamma 90.00
loop_
_atom_site_label
_atom_site_type_symbol
_atom_site_fract_x
_atom_site_fract_y
_atom_site_fract_z
La1 La 0.000 0.000 0.000
Er1 Er 0.000 0.000 0.500
Pd1 Pd 0.250 0.250 0.750

# 2
# PBE La2ErSn3PdPt2, relaxed
# Raw total energy, eV per cell: -106.135
# Volume, Å³ per atom: 23.37
data_La2ErSn3PdPt2
_chemical_formula_sum 'La4 Er2 Sn6 Pd2 Pt4'
_symmetry_space_group_name_H-M 'A m m 2'
_symmetry_Int_Tables_number 38
_cell_length_a 4.140
_cell_length_b 13.236
_cell_length_c 7.677
_cell_angle_alpha 90.00
_cell_angle_beta 90.00
_cell_angle_gamma 90.00
loop_
_symmetry_equiv_pos_as_xyz
'x,y,z'
'-x,-y,z'
'-x,y,z'
'x,-y,z'
'x,y+1/2,z+1/2'
'-x,-y+1/2,z+1/2'
'-x,y+1/2,z+1/2'
'x,-y+1/2,z+1/2'
loop_
_atom_site_label
_atom_site_type_symbol
_atom_site_fract_x
_atom_site_fract_y
_atom_site_fract_z
La1 La 0.000 0.207 0.000
Er1 Er 0.000 0.000 0.382
Sn1 Sn 0.500 0.000 0.046
Sn2 Sn 0.500 0.124 0.663
Pd1 Pd 0.000 0.000 0.784
Pt1 Pt 0.500 0.160 0.295

# 3
# PBE LaErPt, relaxed
# ΔH_f (0 K), kcal/mol of atoms: -5.0
# Volume, Å³ per atom: 25.99
data_LaErPt
_chemical_formula_sum 'La4 Er4 Pt4'
_symmetry_space_group_name_H-M 'F -4 3 m'
_symmetry_Int_Tables_number 216
_symmetry_space_group_name_Hall 'F -4 2 3'
_cell_length_a 6.782
_cell_length_b 6.782
_cell_length_c 6.782
_cell_angle_alpha 90.00
_cell_angle_beta 90.00
_cell_angle_gamma 90.00
loop_
_atom_site_label
_atom_site_type_symbol
_atom_site_fract_x
_atom_site_fract_y
_atom_site_fract_z
La1 La 0.000 0.000 0.000
Er1 Er 0.250 0.250 0.250
Pt1 Pt 0.000 0.000 0.500

# 4
# PBE LaErS3, relaxed
# Raw total energy, eV per cell: -261.022
# Volume, Å³ per atom: 23.47
data_LaErS3
_chemical_formula_sum 'La8 Er8 S24'
_symmetry_space_group_name_H-M 'P 1 21/m 1'
_symmetry_Int_Tables_number 11
_cell_length_a 11.068
_cell_length_b 4.004
_cell_length_c 21.628
_cell_angle_alpha 90.00
_cell_angle_beta 101.67
_cell_angle_gamma 90.00
loop_
_symmetry_equiv_pos_as_xyz
'x,y,z'
'-x,-y,-z'
'-x,y+1/2,-z'
'x,-y+1/2,z'
loop_
_atom_site_label
_atom_site_type_symbol
_atom_site_fract_x
_atom_site_fract_y
_atom_site_fract_z
La1 La 0.093 0.250 0.365
La2 La 0.200 0.250 0.036
La3 La 0.302 0.750 0.734
La4 La 0.309 0.250 0.233
Er1 Er 0.028 0.250 0.850
Er2 Er 0.180 0.250 0.547
Er3 Er 0.448 0.250 0.917
Er4 Er 0.478 0.750 0.413
S1 S 0.037 0.250 0.229
S2 S 0.058 0.750 0.943
S3 S 0.086 0.750 0.465
S4 S 0.125 0.250 0.663
S5 S 0.206 0.750 0.135
S6 S 0.253 0.250 0.825
S7 S 0.253 0.750 0.327
S8 S 0.343 0.750 0.599
S9 S 0.356 0.750 0.985
S10 S 0.364 0.250 0.464
S11 S 0.454 0.250 0.134
S12 S 0.493 0.250 0.720

# 5
# PBE La2ErS3, relaxed
# Raw total energy, eV per cell: -39.389
# Volume, Å³ per atom: 23.51
data_La2ErS3
_chemical_formula_sum 'La2 Er1 S3'
_symmetry_space_group_name_H-M 'P -3 m 1'
_symmetry_Int_Tables_number 164
_symmetry_space_group_name_Hall '-P 3 2"'
_cell_length_a 4.0235
_cell_length_b 4.0235
_cell_length_c 10.0619
_cell_angle_alpha 90.00
_cell_angle_beta 90.00
_cell_angle_gamma 120.00
loop_
_atom_site_label
_atom_site_type_symbol
_atom_site_fract_x
_atom_site_fract_y
_atom_site_fract_z
La1 La 0.3333 0.6667 0.1722
Er1 Er 0.0000 0.0000 0.5000
S1 S 0.0000 0.0000 0.0000
S2 S 0.3333 0.6667 0.6472

# 6
# PBE La10Er9S27, relaxed
# Raw total energy, eV per cell: -604.252
# Volume, Å³ per atom: 23.60
data_La10Er9S27
_chemical_formula_sum 'La20 Er18 S54'
_symmetry_space_group_name_H-M 'C 1 2/m 1'
_symmetry_Int_Tables_number 12
_cell_length_a 29.788
_cell_length_b 3.941
_cell_length_c 21.829
_cell_angle_alpha 90.00
_cell_angle_beta 122.09
_cell_angle_gamma 90.00
loop_
_symmetry_equiv_pos_as_xyz
'x,y,z'
'-x,-y,-z'
'-x,y,-z'
'x,-y,z'
'x+1/2,y+1/2,z'
'-x+1/2,-y+1/2,-z'
'-x+1/2,y+1/2,-z'
'x+1/2,-y+1/2,z'
loop_
_atom_site_label
_atom_site_type_symbol
_atom_site_fract_x
_atom_site_fract_y
_atom_site_fract_z
La1 La 0.043 0.000 0.192
La2 La 0.116 0.000 0.892
La3 La 0.128 0.000 0.709
La4 La 0.181 0.000 0.397
La5 La 0.199 0.000 0.220
Er1 Er 0.000 0.000 0.500
Er2 Er 0.026 0.500 0.360
Er3 Er 0.073 0.500 0.028
Er4 Er 0.180 0.000 0.576
Er5 Er 0.248 0.000 0.087
S1 S 0.000 0.000 0.000
S2 S 0.026 0.000 0.735
S3 S 0.041 0.500 0.885
S4 S 0.048 0.500 0.601
S5 S 0.076 0.000 0.464
S6 S 0.094 0.500 0.314
S7 S 0.107 0.500 0.168
S8 S 0.141 0.000 0.053
S9 S 0.144 0.500 0.815
S10 S 0.177 0.500 0.659
S11 S 0.199 0.500 0.985
S12 S 0.201 0.500 0.507
S13 S 0.215 0.500 0.331
S14 S 0.246 0.000 0.820

# 7
# PBE LaErS3, relaxed
# Raw total energy, eV per cell: -391.762
# Volume, Å³ per atom: 23.62
data_LaErS3
_chemical_formula_sum 'La12 Er12 S36'
_symmetry_space_group_name_H-M 'P n m a'
_symmetry_Int_Tables_number 62
_cell_length_a 16.505
_cell_length_b 4.002
_cell_length_c 21.450
_cell_angle_alpha 90.00
_cell_angle_beta 90.00
_cell_angle_gamma 90.00
loop_
_symmetry_equiv_pos_as_xyz
'x,y,z'
'-x,-y,-z'
'-x+1/2,-y,z+1/2'
'x+1/2,y,-z+1/2'
'x+1/2,-y+1/2,-z+1/2'
'-x+1/2,y+1/2,z+1/2'
'-x,y+1/2,-z'
'x,-y+1/2,z'
loop_
_atom_site_label
_atom_site_type_symbol
_atom_site_fract_x
_atom_site_fract_y
_atom_site_fract_z
La1 La 0.159 0.250 0.246
La2 La 0.170 0.750 0.587
La3 La 0.194 0.250 0.921
Er1 Er 0.057 0.750 0.069
Er2 Er 0.066 0.250 0.421
Er3 Er 0.095 0.250 0.750
S1 S 0.037 0.750 0.682
S2 S 0.043 0.250 0.552
S3 S 0.052 0.750 0.194
S4 S 0.059 0.750 0.942
S5 S 0.146 0.750 0.352
S6 S 0.159 0.250 0.062
S7 S 0.176 0.750 0.816
S8 S 0.209 0.250 0.483
S9 S 0.231 0.250 0.679

# 8
# PBE LaErSb, relaxed
# Raw total energy, eV per cell: -61.250
# Volume, Å³ per atom: 33.04
data_LaErSb
_chemical_formula_sum 'La4 Er4 Sb4'
_symmetry_space_group_name_H-M 'F -4 3 m'
_symmetry_Int_Tables_number 216
_symmetry_space_group_name_Hall 'F -4 2 3'
_cell_length_a 7.347
_cell_length_b 7.347
_cell_length_c 7.347
_cell_angle_alpha 90.00
_cell_angle_beta 90.00
_cell_angle_gamma 90.00
loop_
_atom_site_label
_atom_site_type_symbol
_atom_site_fract_x
_atom_site_fract_y
_atom_site_fract_z
La1 La 0.000 0.000 0.000
Er1 Er 0.000 0.000 0.500
Sb1 Sb 0.250 0.250 0.750

# 9
# PBE LaErSc, relaxed
# ΔH_f (0 K), kcal/mol of atoms: 15.5
# Volume, Å³ per atom: 35.11
data_LaErSc
_chemical_formula_sum 'La4 Er4 Sc4'
_symmetry_space_group_name_H-M 'F -4 3 m'
_symmetry_Int_Tables_number 216
_symmetry_space_group_name_Hall 'F -4 2 3'
_cell_length_a 7.497
_cell_length_b 7.497
_cell_length_c 7.497
_cell_angle_alpha 90.00
_cell_angle_beta 90.00
_cell_angle_gamma 90.00
loop_
_atom_site_label
_atom_site_type_symbol
_atom_site_fract_x
_atom_site_fract_y
_atom_site_fract_z
La1 La 0.000 0.000 0.000
Er1 Er 0.000 0.000 0.500
Sc1 Sc 0.250 0.250 0.750

# 10
# PBE LaErSe2, relaxed
# Raw total energy, eV per cell: -23.634
# Volume, Å³ per atom: 25.87
data_LaErSe2
_chemical_formula_sum 'La1 Er1 Se2'
_symmetry_space_group_name_H-M 'P 4/m m m'
_symmetry_Int_Tables_number 123
_symmetry_space_group_name_Hall '-P 4 2'
_cell_length_a 4.184
_cell_length_b 4.184
_cell_length_c 5.912
_cell_angle_alpha 90.00
_cell_angle_beta 90.00
_cell_angle_gamma 90.00
loop_
_atom_site_label
_atom_site_type_symbol
_atom_site_fract_x
_atom_site_fract_y
_atom_site_fract_z
La1 La 0.000 0.000 0.000
Er1 Er 0.500 0.500 0.500
Se1 Se 0.000 0.000 0.500
Se2 Se 0.500 0.500 0.000

# 11
# PBE LaErSi, relaxed
# Raw total energy, eV per cell: -64.970
# Volume, Å³ per atom: 28.78
data_LaErSi
_chemical_formula_sum 'La4 Er4 Si4'
_symmetry_space_group_name_H-M 'F -4 3 m'
_symmetry_Int_Tables_number 216
_symmetry_space_group_name_Hall 'F -4 2 3'
_cell_length_a 7.016
_cell_length_b 7.016
_cell_length_c 7.016
_cell_angle_alpha 90.00
_cell_angle_beta 90.00
_cell_angle_gamma 90.00
loop_
_atom_site_label
_atom_site_type_symbol
_atom_site_fract_x
_atom_site_fract_y
_atom_site_fract_z
La1 La 0.000 0.000 0.000
Er1 Er 0.000 0.000 0.500
Si1 Si 0.250 0.250 0.750

# 12
# PBE LaSmEr, relaxed
# ΔH_f (0 K), kcal/mol of atoms: 15.5
# Volume, Å³ per atom: 39.82
data_LaSmEr
_chemical_formula_sum 'La4 Sm4 Er4'
_symmetry_space_group_name_H-M 'F -4 3 m'
_symmetry_Int_Tables_number 216
_symmetry_space_group_name_Hall 'F -4 2 3'
_cell_length_a 7.818
_cell_length_b 7.818
_cell_length_c 7.818
_cell_angle_alpha 90.00
_cell_angle_beta 90.00
_cell_angle_gamma 90.00
loop_
_atom_site_label
_atom_site_type_symbol
_atom_site_fract_x
_atom_site_fract_y
_atom_site_fract_z
La1 La 0.000 0.000 0.000
Sm1 Sm 0.000 0.000 0.500
Er1 Er 0.250 0.250 0.250

# 13
# PBE LaErSn, relaxed
# Raw total energy, eV per cell: -44.677
# Volume, Å³ per atom: 31.10
data_LaErSn
_chemical_formula_sum 'La3 Er3 Sn3'
_symmetry_space_group_name_H-M 'P -6 2 m'
_symmetry_Int_Tables_number 189
_symmetry_space_group_name_Hall 'P -6 -2'
_cell_length_a 8.5690
_cell_length_b 8.5690
_cell_length_c 4.4015
_cell_angle_alpha 90.00
_cell_angle_beta 90.00
_cell_angle_gamma 120.00
loop_
_atom_site_label
_atom_site_type_symbol
_atom_site_fract_x
_atom_site_fract_y
_atom_site_fract_z
La1 La 0.0000 0.2717 0.0000
Er1 Er 0.0000 0.5920 0.5000
Sn1 Sn 0.0000 0.0000 0.5000
Sn2 Sn 0.3333 0.6667 0.0000

# 14
# PBE LaErSn, relaxed
# Raw total energy, eV per cell: -58.860
# Volume, Å³ per atom: 34.12
data_LaErSn
_chemical_formula_sum 'La4 Er4 Sn4'
_symmetry_space_group_name_H-M 'F -4 3 m'
_symmetry_Int_Tables_number 216
_symmetry_space_group_name_Hall 'F -4 2 3'
_cell_length_a 7.426
_cell_length_b 7.426
_cell_length_c 7.426
_cell_angle_alpha 90.00
_cell_angle_beta 90.00
_cell_angle_gamma 90.00
loop_
_atom_site_label
_atom_site_type_symbol
_atom_site_fract_x
_atom_site_fract_y
_atom_site_fract_z
La1 La 0.000 0.000 0.000
Er1 Er 0.000 0.000 0.500
Sn1 Sn 0.250 0.250 0.750

# 15
# PBE SrLaEr, relaxed
# Raw total energy, eV per cell: -20.496
# Volume, Å³ per atom: 39.89
data_SrLaEr
_chemical_formula_sum 'Sr2 La2 Er2'
_symmetry_space_group_name_H-M 'P 4/n m m'
_symmetry_Int_Tables_number 129
_cell_length_a 5.075
_cell_length_b 5.075
_cell_length_c 9.295
_cell_angle_alpha 90.00
_cell_angle_beta 90.00
_cell_angle_gamma 90.00
loop_
_symmetry_equiv_pos_as_xyz
'x,y,z'
'-x,-y,-z'
'-y+1/2,x,z'
'y+1/2,-x,-z'
'-x+1/2,-y+1/2,z'
'x+1/2,y+1/2,-z'
'y,-x+1/2,z'
'-y,x+1/2,-z'
'x+1/2,-y,-z'
'-x+1/2,y,z'
'-y,-x,-z'
'y,x,z'
'-x,y+1/2,-z'
'x,-y+1/2,z'
'y+1/2,x+1/2,-z'
'-y+1/2,-x+1/2,z'
loop_
_atom_site_label
_atom_site_type_symbol
_atom_site_fract_x
_atom_site_fract_y
_atom_site_fract_z
Sr1 Sr 0.250 0.250 0.175
La1 La 0.250 0.250 0.774
Er1 Er 0.250 0.750 0.500

# 16
# PBE SrLaEr, relaxed
# Raw total energy, eV per cell: -35.746
# Volume, Å³ per atom: 45.92
data_SrLaEr
_chemical_formula_sum 'Sr4 La4 Er4'
_symmetry_space_group_name_H-M 'F -4 3 m'
_symmetry_Int_Tables_number 216
_symmetry_space_group_name_Hall 'F -4 2 3'
_cell_length_a 8.199
_cell_length_b 8.199
_cell_length_c 8.199
_cell_angle_alpha 90.00
_cell_angle_beta 90.00
_cell_angle_gamma 90.00
loop_
_atom_site_label
_atom_site_type_symbol
_atom_site_fract_x
_atom_site_fract_y
_atom_site_fract_z
Sr1 Sr 0.000 0.000 0.000
La1 La 0.000 0.000 0.500
Er1 Er 0.250 0.250 0.750

# 17
# PBE LaErTa, relaxed
# ΔH_f (0 K), kcal/mol of atoms: 28.5
# Volume, Å³ per atom: 30.83
data_LaErTa
_chemical_formula_sum 'La4 Er4 Ta4'
_symmetry_space_group_name_H-M 'F -4 3 m'
_symmetry_Int_Tables_number 216
_symmetry_space_group_name_Hall 'F -4 2 3'
_cell_length_a 7.179
_cell_length_b 7.179
_cell_length_c 7.179
_cell_angle_alpha 90.00
_cell_angle_beta 90.00
_cell_angle_gamma 90.00
loop_
_atom_site_label
_atom_site_type_symbol
_atom_site_fract_x
_atom_site_fract_y
_atom_site_fract_z
La1 La 0.000 0.000 0.000
Er1 Er 0.250 0.250 0.250
Ta1 Ta 0.000 0.000 0.500

# 18
# PBE LaErTe, relaxed
# Raw total energy, eV per cell: -57.168
# Volume, Å³ per atom: 33.15
data_LaErTe
_chemical_formula_sum 'La4 Er4 Te4'
_symmetry_space_group_name_H-M 'F -4 3 m'
_symmetry_Int_Tables_number 216
_symmetry_space_group_name_Hall 'F -4 2 3'
_cell_length_a 7.355
_cell_length_b 7.355
_cell_length_c 7.355
_cell_angle_alpha 90.00
_cell_angle_beta 90.00
_cell_angle_gamma 90.00
loop_
_atom_site_label
_atom_site_type_symbol
_atom_site_fract_x
_atom_site_fract_y
_atom_site_fract_z
La1 La 0.000 0.000 0.000
Er1 Er 0.000 0.000 0.500
Te1 Te 0.250 0.250 0.750

# 19
# PBE LaErTl2, relaxed
# Raw total energy, eV per cell: -15.736
# Volume, Å³ per atom: 28.73
data_LaErTl2
_chemical_formula_sum 'La1 Er1 Tl2'
_symmetry_space_group_name_H-M 'P 4/m m m'
_symmetry_Int_Tables_number 123
_symmetry_space_group_name_Hall '-P 4 2'
_cell_length_a 3.816
_cell_length_b 3.816
_cell_length_c 7.890
_cell_angle_alpha 90.00
_cell_angle_beta 90.00
_cell_angle_gamma 90.00
loop_
_atom_site_label
_atom_site_type_symbol
_atom_site_fract_x
_atom_site_fract_y
_atom_site_fract_z
La1 La 0.000 0.000 0.000
Er1 Er 0.000 0.000 0.500
Tl1 Tl 0.500 0.500 0.271

# 20
# PBE LaErTl2Zn2, relaxed
# Raw total energy, eV per cell: -18.898
# Volume, Å³ per atom: 24.51
data_LaErTl2Zn2
_chemical_formula_sum 'La1 Er1 Tl2 Zn2'
_symmetry_space_group_name_H-M 'P 3 m 1'
_symmetry_Int_Tables_number 156
_cell_length_a 4.7341
_cell_length_b 4.7341
_cell_length_c 7.5768
_cell_angle_alpha 90.00
_cell_angle_beta 90.00
_cell_angle_gamma 120.00
loop_
_symmetry_equiv_pos_as_xyz
'x,y,z'
'-y,x-y,z'
'-x+y,-x,z'
'-y,-x,z'
'-x+y,y,z'
'x,x-y,z'
loop_
_atom_site_label
_atom_site_type_symbol
_atom_site_fract_x
_atom_site_fract_y
_atom_site_fract_z
La1 La 0.0000 0.0000 0.0000
Er1 Er 0.0000 0.0000 0.5005
Tl1 Tl 0.3333 0.6667 0.2917
Tl2 Tl 0.6667 0.3333 0.7651
Zn1 Zn 0.3333 0.6667 0.6863
Zn2 Zn 0.6667 0.3333 0.2140

# 21
# PBE LaYEr, relaxed
# ΔH_f (0 K), kcal/mol of atoms: 16.0
# Volume, Å³ per atom: 39.07
data_LaYEr
_chemical_formula_sum 'La4 Y4 Er4'
_symmetry_space_group_name_H-M 'F -4 3 m'
_symmetry_Int_Tables_number 216
_symmetry_space_group_name_Hall 'F -4 2 3'
_cell_length_a 7.769
_cell_length_b 7.769
_cell_length_c 7.769
_cell_angle_alpha 90.00
_cell_angle_beta 90.00
_cell_angle_gamma 90.00
loop_
_atom_site_label
_atom_site_type_symbol
_atom_site_fract_x
_atom_site_fract_y
_atom_site_fract_z
La1 La 0.000 0.000 0.000
Y1 Y 0.000 0.000 0.500
Er1 Er 0.250 0.250 0.250

# 22
# PBE LaErZn, relaxed
# ΔH_f (0 K), kcal/mol of atoms: 0.3
# Volume, Å³ per atom: 30.10
data_LaErZn
_chemical_formula_sum 'La4 Er4 Zn4'
_symmetry_space_group_name_H-M 'F -4 3 m'
_symmetry_Int_Tables_number 216
_symmetry_space_group_name_Hall 'F -4 2 3'
_cell_length_a 7.122
_cell_length_b 7.122
_cell_length_c 7.122
_cell_angle_alpha 90.00
_cell_angle_beta 90.00
_cell_angle_gamma 90.00
loop_
_atom_site_label
_atom_site_type_symbol
_atom_site_fract_x
_atom_site_fract_y
_atom_site_fract_z
La1 La 0.000 0.000 0.000
Er1 Er 0.000 0.000 0.500
Zn1 Zn 0.250 0.250 0.750